## PmMg (PBE)

Data for a geometry-optimized PmMg structure.

extended XYZ file:
```
12
Lattice="-4.261 -2.340 3.943 6.517 0.993 7.632 -1.882 5.033 0.953" Properties=species:S:1:pos:R:3 pbc="T T T"
Pm -3.390 0.694 5.265
Pm 3.938 2.656 9.379
Pm -1.088 -1.053 3.414
Pm 2.109 2.509 6.541
Pm -0.897 1.206 7.488
Pm 6.350 0.925 7.657
Mg 0.163 -1.635 8.958
Mg -0.214 2.069 4.275
Mg 1.207 -0.631 5.715
Mg 0.993 1.407 10.155
Mg 2.192 0.288 2.810
Mg 3.049 -0.427 8.280
```

## Properties
Crystal system: orthorhombic
M_tot (μB/cell): 0.01
Symmetry: Pmc2_1 (26)
ρ (g/cm³): 4.90
Electronic total energy (eV/f.u.): -6.30

=====

## PmMg2 (PBE)

Data for a geometry-optimized PmMg2 structure.

extended XYZ file:
```
12
Lattice="5.993 0.000 0.000 0.000 9.878 0.000 0.000 0.000 5.483" Properties=species:S:1:pos:R:3 pbc="T T T"
Pm 5.063 4.939 2.742
Pm 5.924 0.000 0.000
Pm 2.928 4.939 0.000
Pm 2.066 0.000 2.742
Mg 1.945 3.293 2.742
Mg 1.945 6.585 2.742
Mg 4.941 1.646 2.742
Mg 0.053 3.293 0.000
Mg 4.941 8.232 2.742
Mg 3.050 1.646 0.000
Mg 0.053 6.585 0.000
Mg 3.050 8.232 0.000
```

## Properties
Crystal system: orthorhombic
M_tot (μB/cell): 0.00
Symmetry: Cmcm (63)
ρ (g/cm³): 3.96
Electronic total energy (eV/f.u.): -7.82

=====

## PmMg (PBE)

Data for a geometry-optimized PmMg structure.

extended XYZ file:
```
12
Lattice="5.924 0.000 0.000 0.000 10.520 0.000 0.000 0.000 5.578" Properties=species:S:1:pos:R:3 pbc="T T T"
Pm 5.807 7.051 0.000
Pm 5.100 1.541 2.789
Pm 1.919 3.671 2.789
Pm 2.845 1.716 0.000
Pm 2.138 7.226 2.789
Pm 4.881 5.095 2.789
Mg 3.036 8.896 0.000
Mg 2.830 5.319 0.000
Mg 0.074 10.392 0.000
Mg 5.793 3.447 0.000
Mg 2.042 10.512 2.789
Mg 5.004 8.776 2.789
```

## Properties
Crystal system: orthorhombic
M_tot (μB/cell): 0.01
Symmetry: Pmc2_1 (26)
ρ (g/cm³): 4.85
Electronic total energy (eV/f.u.): -6.28

=====

## PmMg (PBE)

Data for a geometry-optimized PmMg structure.

extended XYZ file:
```
16
Lattice="6.215 0.000 0.000 0.000 13.600 0.000 0.000 0.000 5.448" Properties=species:S:1:pos:R:3 pbc="T T T"
Pm 2.041 0.080 2.724
Pm 5.059 5.115 2.724
Pm 2.041 6.720 2.724
Pm 0.030 13.520 0.000
Pm 0.030 6.879 0.000
Pm 3.228 8.485 0.000
Pm 3.228 11.915 0.000
Pm 5.059 1.685 2.724
Mg 3.064 5.015 0.000
Mg 1.909 10.200 2.724
Mg 5.223 8.585 2.724
Mg 1.966 3.400 2.724
Mg 0.163 3.400 0.000
Mg 0.106 10.200 0.000
Mg 3.064 1.785 0.000
Mg 5.223 11.815 2.724
```

## Properties
Crystal system: orthorhombic
M_tot (μB/cell): 0.01
Symmetry: Pmmn (59)
ρ (g/cm³): 4.88
Electronic total energy (eV/f.u.): -6.24

=====

## PmMg (PBE)

Data for a geometry-optimized PmMg structure.

extended XYZ file:
```
4
Lattice="-2.561 -3.419 -2.222 3.332 2.478 -2.437 4.678 -4.612 1.705" Properties=species:S:1:pos:R:3 pbc="T T T"
Pm 2.339 -2.306 0.853
Pm 0.000 0.000 0.000
Mg 0.573 -2.606 -1.867
Mg 4.876 -2.947 -1.086
```

## Properties
Crystal system: hexagonal
M_tot (μB/cell): 0.00
Symmetry: P6_3/mmc (194)
ρ (g/cm³): 4.13
Electronic total energy (eV/f.u.): -5.40

=====

## PmMg2 (PBE)

Data for a geometry-optimized PmMg2 structure.

extended XYZ file:
```
6
Lattice="2.975 5.153 0.000 -2.975 5.153 0.000 0.000 0.000 5.336" Properties=species:S:1:pos:R:3 pbc="T T T"
Mg 0.000 6.871 0.000
Mg -0.919 5.280 2.668
Mg -0.919 8.462 2.668
Mg 1.837 6.871 2.668
Pm 0.000 3.436 0.000
Pm 0.000 0.000 0.000
```

## Properties
Crystal system: hexagonal
M_tot (μB/cell): 0.03
Symmetry: P-62m (189)
ρ (g/cm³): 3.93
Electronic total energy (eV/f.u.): -7.79

=====

## PmMg2 (PBE)

Data for a geometry-optimized PmMg2 structure.

extended XYZ file:
```
12
Lattice="17.596 0.000 0.000 0.000 3.328 0.000 0.000 0.000 5.532" Properties=species:S:1:pos:R:3 pbc="T T T"
Mg 16.563 1.664 2.766
Mg 8.854 1.664 0.000
Mg 2.881 1.664 0.000
Mg 13.738 0.000 2.766
Mg 0.055 0.000 0.000
Mg 11.679 0.000 0.000
Mg 7.765 0.000 2.766
Mg 4.939 1.664 2.766
Pm 14.590 1.664 0.000
Pm 10.826 1.664 2.766
Pm 2.028 0.000 2.766
Pm 5.792 0.000 0.000
```

## Properties
Crystal system: orthorhombic
M_tot (μB/cell): 0.01
Symmetry: Cmcm (63)
ρ (g/cm³): 3.97
Electronic total energy (eV/f.u.): -7.93

=====

## Pm5Mg (PBE)

Data for a geometry-optimized Pm5Mg structure.

extended XYZ file:
```
6
Lattice="3.622 0.000 0.000 -1.811 3.136 0.000 0.000 0.000 17.439" Properties=species:S:1:pos:R:3 pbc="T T T"
Mg 1.811 1.045 14.532
Pm 1.811 1.045 2.833
Pm 1.811 1.045 8.792
Pm 0.000 0.000 17.309
Pm 0.000 0.000 5.813
Pm 0.000 0.000 11.755
```

## Properties
Crystal system: hexagonal
M_tot (μB/cell): 0.00
Symmetry: P-6m2 (187)
ρ (g/cm³): 6.28
Electronic total energy (eV/f.u.): -25.02

=====

## PmMg (PBE)

Data for a geometry-optimized PmMg structure.

extended XYZ file:
```
8
Lattice="6.290 0.000 0.000 0.000 6.775 0.000 0.000 0.000 5.402" Properties=species:S:1:pos:R:3 pbc="T T T"
Mg 2.115 3.395 2.701
Mg 6.271 0.007 0.000
Mg 5.260 5.074 2.701
Mg 3.126 1.687 0.000
Pm 1.840 0.061 2.701
Pm 3.402 5.021 0.000
Pm 0.257 3.449 0.000
Pm 4.985 1.633 2.701
```

## Properties
Crystal system: orthorhombic
M_tot (μB/cell): 0.03
Symmetry: Pnma (62)
ρ (g/cm³): 4.88
Electronic total energy (eV/f.u.): -6.35

=====

## PmMg (PBE)

Data for a geometry-optimized PmMg structure.

extended XYZ file:
```
10
Lattice="2.628 4.551 0.000 -7.747 7.507 0.000 0.000 0.000 5.254" Properties=species:S:1:pos:R:3 pbc="T T T"
Mg -4.093 5.887 0.000
Mg -2.773 8.189 2.627
Mg -7.353 7.769 0.000
Mg -5.710 6.850 2.627
Mg -6.019 10.063 2.627
Pm -4.408 9.105 0.000
Pm 1.273 5.843 2.627
Pm -0.883 7.081 0.000
Pm -2.327 4.887 2.627
Pm -0.176 3.639 0.000
```

## Properties
Crystal system: orthorhombic
M_tot (μB/cell): 0.00
Symmetry: Amm2 (38)
ρ (g/cm³): 4.87
Electronic total energy (eV/f.u.): -6.41

=====

## PmMg (PBE)

Data for a geometry-optimized PmMg structure.

extended XYZ file:
```
24
Lattice="18.001 0.000 0.000 0.000 7.038 0.000 0.000 0.000 5.431" Properties=species:S:1:pos:R:3 pbc="T T T"
Pm 8.860 5.203 0.000
Pm 9.089 1.821 0.000
Pm 11.934 7.012 0.000
Pm 14.067 7.012 2.716
Pm 2.933 5.304 0.000
Pm 7.912 3.458 2.716
Pm 8.141 0.075 2.716
Pm 5.067 5.305 2.716
Pm 17.860 0.075 0.000
Pm 17.141 5.203 2.716
Pm 16.912 1.821 2.716
Pm 0.088 3.458 0.000
Mg 2.010 0.114 2.716
Mg 5.990 0.114 0.000
Mg 3.049 1.733 0.000
Mg 13.952 3.545 2.716
Mg 2.111 3.397 2.716
Mg 4.952 1.733 2.716
Mg 12.049 3.545 0.000
Mg 14.991 5.165 0.000
Mg 5.889 3.397 0.000
Mg 14.889 1.881 0.000
Mg 11.112 1.882 2.716
Mg 11.010 5.165 2.716
```

## Properties
Crystal system: orthorhombic
M_tot (μB/cell): 0.07
Symmetry: Pbcm (57)
ρ (g/cm³): 4.90
Electronic total energy (eV/f.u.): -6.27

=====

## PmMg (PBE)

Data for a geometry-optimized PmMg structure.

extended XYZ file:
```
2
Lattice="0.000 3.203 3.203 3.203 0.000 3.203 3.203 3.203 0.000" Properties=species:S:1:pos:R:3 pbc="T T T"
Pm 3.203 3.203 3.203
Mg 0.000 0.000 0.000
```

## Properties
Crystal system: cubic
M_tot (μB/cell): 0.00
Symmetry: Fm-3m (225)
ρ (g/cm³): 4.28
Electronic total energy (eV/f.u.): -5.57

=====

## Pm3Mg4 (PBE)

Data for a geometry-optimized Pm3Mg4 structure.

extended XYZ file:
```
14
Lattice="-8.080 -2.273 3.625 -0.483 -2.827 8.682 -0.715 5.159 1.640" Properties=species:S:1:pos:R:3 pbc="T T T"
Mg -7.359 -1.952 12.023
Mg -8.313 -0.275 6.332
Mg -1.306 0.930 5.596
Mg -7.345 -4.014 9.425
Mg -1.292 -1.132 2.998
Mg -7.935 -2.255 3.633
Mg -4.757 -1.673 3.187
Mg -3.411 1.415 3.152
Pm -6.072 -0.888 9.236
Pm -4.962 0.324 5.908
Pm -2.579 -2.196 5.785
Pm -6.173 -2.891 6.404
Pm -2.479 -0.193 8.618
Pm -3.689 -3.408 9.114
```

## Properties
Crystal system: hexagonal
M_tot (μB/cell): 0.00
Symmetry: P6_3/m (176)
ρ (g/cm³): 4.47
Electronic total energy (eV/f.u.): -20.47

=====

## PmMg3 (PBE)

Data for a geometry-optimized PmMg3 structure.

extended XYZ file:
```
8
Lattice="-2.752 4.534 -4.220 -2.659 -0.888 6.170 3.162 3.681 1.893" Properties=species:S:1:pos:R:3 pbc="T T T"
Mg -0.498 1.345 1.800
Mg 1.068 4.082 1.028
Mg -1.751 5.981 2.044
Mg -1.884 0.923 4.936
Mg -3.317 3.244 2.815
Mg -0.365 6.404 -1.093
Pm -0.319 3.699 4.091
Pm -1.930 3.628 -0.248
```

## Properties
Crystal system: orthorhombic
M_tot (μB/cell): 0.03
Symmetry: Cmcm (63)
ρ (g/cm³): 3.48
Electronic total energy (eV/f.u.): -9.76

=====

## PmMg (PBE)

Data for a geometry-optimized PmMg structure.

extended XYZ file:
```
4
Lattice="5.296 0.000 0.000 -2.648 4.586 0.000 0.000 0.000 5.346" Properties=species:S:1:pos:R:3 pbc="T T T"
Mg 0.000 0.000 2.673
Mg 0.000 0.000 0.000
Pm 0.000 3.057 4.010
Pm 2.648 1.529 1.337
```

## Properties
Crystal system: hexagonal
M_tot (μB/cell): 0.09
Symmetry: P6_3/mmc (194)
ρ (g/cm³): 4.33
Electronic total energy (eV/f.u.): -5.73

=====

## PmMg2 (PBE)

Data for a geometry-optimized PmMg2 structure.

extended XYZ file:
```
6
Lattice="0.437 -11.031 0.772 9.671 -5.035 1.897 1.918 -4.790 9.790" Properties=species:S:1:pos:R:3 pbc="T T T"
Pm 3.006 -5.214 3.115
Pm 6.013 -10.428 6.230
Mg 9.345 -10.339 5.621
Mg 4.728 -13.337 5.058
Mg 4.510 -7.821 4.672
Mg 5.469 -10.216 9.567
```

## Properties
Crystal system: cubic
M_tot (μB/cell): 4.03
Symmetry: Fd-3m (227)
ρ (g/cm³): 0.67
Electronic total energy (eV/f.u.): -2.93

=====

## PmMg (PBE)

Data for a geometry-optimized PmMg structure.

extended XYZ file:
```
12
Lattice="0.271 6.846 5.525 -4.951 2.368 -4.766 -3.996 -2.278 3.019" Properties=species:S:1:pos:R:3 pbc="T T T"
Pm -2.865 5.568 5.422
Pm -1.449 3.081 0.407
Pm -5.443 6.647 2.824
Pm -2.198 7.945 3.086
Pm -4.695 1.784 0.145
Pm -4.027 4.160 -2.191
Mg 0.268 6.806 5.490
Mg -0.468 4.936 3.105
Mg -2.209 0.554 2.507
Mg -3.147 6.050 0.400
Mg -3.745 3.678 2.831
Mg -6.425 4.793 0.126
```

## Properties
Crystal system: monoclinic
M_tot (μB/cell): 0.01
Symmetry: P2_1/m (11)
ρ (g/cm³): 4.87
Electronic total energy (eV/f.u.): -6.28

=====

## PmMg (PBE)

Data for a geometry-optimized PmMg structure.

extended XYZ file:
```
4
Lattice="2.510 -4.348 0.000 2.510 4.348 0.000 0.000 0.000 8.229" Properties=species:S:1:pos:R:3 pbc="T T T"
Pm 2.510 1.449 7.201
Pm 0.000 0.000 3.087
Mg 2.510 1.449 4.114
Mg 0.000 0.000 0.000
```

## Properties
Crystal system: hexagonal
M_tot (μB/cell): 1.50
Symmetry: P6_3mc (186)
ρ (g/cm³): 3.13
Electronic total energy (eV/f.u.): -3.95

=====

## PmMg2 (PBE)

Data for a geometry-optimized PmMg2 structure.

extended XYZ file:
```
12
Lattice="4.949 0.000 0.000 0.000 12.887 0.000 0.000 0.000 5.031" Properties=species:S:1:pos:R:3 pbc="T T T"
Mg 2.061 10.739 0.000
Mg 4.527 4.296 0.000
Mg 2.067 12.775 2.516
Mg 4.546 10.739 2.516
Mg 2.058 6.332 0.000
Mg 2.067 8.703 2.516
Mg 2.063 4.296 2.516
Mg 2.058 2.260 0.000
Pm 4.537 12.868 0.000
Pm 4.537 8.611 0.000
Pm 4.536 6.424 2.516
Pm 4.536 2.167 2.516
```

## Properties
Crystal system: orthorhombic
M_tot (μB/cell): 0.00
Symmetry: Pmmn (59)
ρ (g/cm³): 4.01
Electronic total energy (eV/f.u.): -7.92

=====

## PmMg (PBE)

Data for a geometry-optimized PmMg structure.

extended XYZ file:
```
16
Lattice="-0.887 6.373 0.570 -4.610 0.476 -12.490 -4.996 -0.857 1.811" Properties=species:S:1:pos:R:3 pbc="T T T"
Mg -3.391 3.784 -7.561
Mg -6.052 4.879 -6.387
Mg -1.037 3.542 -1.183
Mg -4.058 2.222 -2.142
Mg -5.098 2.330 -4.962
Mg -5.385 6.441 -11.803
Mg -3.796 4.646 -0.273
Mg -4.345 6.333 -8.986
Pm -2.467 0.714 -6.468
Pm -4.398 3.038 -10.694
Pm -2.826 1.240 0.790
Pm -1.120 0.575 -2.816
Pm -6.089 1.577 -8.050
Pm -5.044 5.625 -3.252
Pm -2.240 3.854 -4.355
Pm -7.202 4.808 -9.592
```

## Properties
Crystal system: orthorhombic
M_tot (μB/cell): 0.03
Symmetry: Pmmn (59)
ρ (g/cm³): 4.86
Electronic total energy (eV/f.u.): -6.34

=====

## PmMg (PBE)

Data for a geometry-optimized PmMg structure.

extended XYZ file:
```
4
Lattice="-3.994 -1.700 3.819 2.676 -1.236 2.248 0.231 4.929 2.436" Properties=species:S:1:pos:R:3 pbc="T T T"
Pm -1.247 1.885 2.521
Pm -0.628 -1.455 3.004
Mg -3.954 -1.684 3.781
Mg -1.914 0.412 5.562
```

## Properties
Crystal system: orthorhombic
M_tot (μB/cell): 0.01
Symmetry: Pmmn (59)
ρ (g/cm³): 4.77
Electronic total energy (eV/f.u.): -6.22

=====

## PmMg (PBE)

Data for a geometry-optimized PmMg structure.

extended XYZ file:
```
16
Lattice="11.748 0.000 0.000 0.000 7.191 0.000 0.000 0.000 5.456" Properties=species:S:1:pos:R:3 pbc="T T T"
Mg 7.691 3.596 2.728
Mg 2.313 3.596 2.728
Mg 0.141 0.000 0.000
Mg 4.919 1.850 2.728
Mg 5.519 0.000 0.000
Mg 4.919 5.341 2.728
Mg 2.913 5.446 0.000
Mg 2.913 1.746 0.000
Pm 0.294 3.596 0.000
Pm 7.538 0.000 2.728
Pm 8.719 5.337 0.000
Pm 10.861 1.741 2.728
Pm 5.613 3.596 0.000
Pm 8.719 1.855 0.000
Pm 2.219 0.000 2.728
Pm 10.861 5.450 2.728
```

## Properties
Crystal system: orthorhombic
M_tot (μB/cell): 0.76
Symmetry: Pmmn (59)
ρ (g/cm³): 4.88
Electronic total energy (eV/f.u.): -6.36